Computed, not measured: crystalline TcOs2Rh at its relaxed geometry at the PBE-GGA level of DFT.

```
data_TcOs2Rh
_symmetry_space_group_name_H-M 'I -4 m 2'
_symmetry_Int_Tables_number 119
_symmetry_space_group_name_Hall 'I -4 -2'
_cell_length_a 3.8695
_cell_length_b 3.8695
_cell_length_c 7.6484
_cell_angle_alpha 90.00
_cell_angle_beta 90.00
_cell_angle_gamma 90.00
loop_
_atom_site_label
_atom_site_fract_x
_atom_site_fract_y
_atom_site_fract_z
Tc1 0.0000 0.0000 0.0000
Os1 0.0000 0.0000 0.5000
Os2 0.0000 0.5000 0.2500
Rh1 0.0000 0.5000 0.7500
```

## Properties
Total moment in μB per atom: 0.0000
VASP energy in eV/atom: -9.998
E above lowest polymorph in eV per formula unit: 0.035
Calculated formation energy in kJ/mol of atoms: 4.5